Record 1
{"formula": "YB3Os", "functional": "GGA-PBE", "state": "optimized geometry", "cell": [[4.088, 0.000, 0.000], [0.000, 4.088, 0.000], [0.000, 0.000, 4.088]], "species": ["Y", "B", "B", "B", "Os"], "fractional_positions": [[0.500, 0.500, 0.500], [0.000, 0.500, 0.000], [0.000, 0.000, 0.500], [0.500, 0.000, 0.000], [0.000, 0.000, 0.000]], "mass_density_g_cm3": 7.6}

***

Record 2
{"formula": "YB3Os", "functional": "GGA-PBE", "state": "optimized geometry", "cell": [[3.075, 0.000, 0.000], [0.000, 5.529, 0.000], [-1.537, 0.000, 6.897]], "species": ["B", "B", "B", "B", "B", "B", "Y", "Y", "Os", "Os"], "fractional_positions": [[0.283, 0.016, 0.566], [0.717, 0.984, 0.434], [0.283, 0.484, 0.566], [0.209, 0.750, 0.417], [0.717, 0.516, 0.434], [0.791, 0.250, 0.583], [0.905, 0.750, 0.809], [0.095, 0.250, 0.191], [0.592, 0.750, 0.183], [0.408, 0.250, 0.817]], "mass_density_g_cm3": 8.8}

***

Record 3
{"formula": "Y3B7Os", "functional": "GGA-PBE", "state": "optimized geometry", "cell": [[3.525, 0.000, 0.000], [-1.762, 7.881, 0.000], [0.000, 0.000, 9.343]], "species": ["B", "B", "B", "B", "B", "B", "B", "B", "B", "B", "B", "B", "B", "B", "Y", "Y", "Y", "Y", "Y", "Y", "Os", "Os"], "fractional_positions": [[0.632, 0.264, 0.849], [0.368, 0.736, 0.151], [0.521, 0.042, 0.904], [0.727, 0.454, 0.966], [0.632, 0.264, 0.651], [0.542, 0.085, 0.250], [0.521, 0.042, 0.596], [0.273, 0.546, 0.034], [0.479, 0.958, 0.096], [0.273, 0.546, 0.466], [0.479, 0.958, 0.404], [0.368, 0.736, 0.349], [0.458, 0.915, 0.750], [0.727, 0.454, 0.534], [0.106, 0.212, 0.060], [0.894, 0.788, 0.940], [0.755, 0.511, 0.250], [0.894, 0.788, 0.560], [0.245, 0.489, 0.750], [0.106, 0.212, 0.440], [0.054, 0.108, 0.750], [0.946, 0.892, 0.250]], "mass_density_g_cm3": 6.8}

***

Record 4
{"formula": "Y2B4Os3", "functional": "GGA-PBE", "state": "optimized geometry", "cell": [[5.398, 0.069, 0.000], [-2.448, 4.811, 0.000], [-1.475, -2.440, 4.837]], "species": ["B", "B", "B", "B", "Os", "Os", "Os", "Y", "Y"], "fractional_positions": [[0.051, 0.618, 0.669], [0.618, 0.051, 0.669], [0.382, 0.949, 0.331], [0.949, 0.382, 0.331], [0.500, 0.000, 0.000], [0.000, 0.500, 0.000], [0.000, 0.000, 0.000], [0.658, 0.658, 0.316], [0.342, 0.342, 0.684]], "mass_density_g_cm3": 10.4}

***

Record 5
{"formula": "Y3B6Os8", "functional": "GGA-PBE", "state": "optimized geometry", "cell": [[10.053, 0.002, -0.001], [7.773, 5.038, 0.003], [2.280, -2.002, 4.622]], "species": ["Y", "Y", "Y", "B", "B", "B", "B", "B", "B", "Os", "Os", "Os", "Os", "Os", "Os", "Os", "Os"], "fractional_positions": [[0.000, 0.000, 0.000], [0.180, 0.180, 0.820], [0.820, 0.820, 0.180], [0.474, 0.176, 0.824], [0.526, 0.824, 0.176], [0.176, 0.474, 0.526], [0.824, 0.526, 0.474], [0.317, 0.683, 0.317], [0.683, 0.317, 0.683], [0.250, 0.250, 0.250], [0.750, 0.750, 0.750], [0.590, 0.590, 0.910], [0.090, 0.090, 0.410], [0.410, 0.410, 0.090], [0.421, 0.421, 0.579], [0.910, 0.910, 0.590], [0.579, 0.579, 0.421]], "mass_density_g_cm3": 13.1}

***

Record 6
{"formula": "YBOs", "functional": "GGA-PBE", "state": "optimized geometry", "cell": [[3.881, 0.000, 0.000], [0.000, 3.881, 0.000], [-1.940, -1.940, 7.270]], "species": ["B", "B", "Y", "Y", "Os", "Os"], "fractional_positions": [[0.076, 0.076, 0.152], [0.924, 0.924, 0.848], [0.650, 0.650, 0.300], [0.350, 0.350, 0.700], [0.000, 0.500, 0.000], [0.500, 0.000, 0.000]], "mass_density_g_cm3": 8.8}

***

Record 7
{"formula": "YB4Os4", "functional": "GGA-PBE", "state": "optimized geometry", "cell": [[-1.166, 0.632, 3.794], [0.577, -7.403, 1.411], [7.210, 0.954, 2.057]], "species": ["B", "B", "B", "B", "B", "B", "B", "B", "Os", "Os", "Os", "Os", "Os", "Os", "Os", "Os", "Y", "Y"], "fractional_positions": [[0.113, 0.782, 0.664], [0.387, 0.282, 0.164], [0.613, 0.164, 0.718], [0.113, 0.218, 0.336], [0.387, 0.718, 0.836], [0.887, 0.664, 0.218], [0.613, 0.836, 0.282], [0.887, 0.336, 0.782], [0.885, 0.392, 0.146], [0.885, 0.608, 0.854], [0.385, 0.646, 0.108], [0.385, 0.354, 0.892], [0.115, 0.146, 0.608], [0.615, 0.892, 0.646], [0.115, 0.854, 0.392], [0.615, 0.108, 0.354], [0.500, 0.500, 0.500], [0.000, 0.000, 0.000]], "mass_density_g_cm3": 12.9}

***

Record 8
{"formula": "Y2B10Os", "functional": "GGA-PBE", "state": "optimized geometry", "cell": [[4.186, 0.000, 0.000], [0.000, 5.723, 0.000], [0.000, 0.000, 11.370]], "species": ["B", "B", "B", "B", "B", "B", "B", "B", "B", "B", "B", "B", "B", "B", "B", "B", "B", "B", "B", "B", "Y", "Y", "Y", "Y", "Os", "Os"], "fractional_positions": [[0.000, 0.134, 0.697], [0.000, 0.120, 0.541], [0.000, 0.942, 0.807], [0.000, 0.634, 0.803], [0.300, 0.724, 0.381], [0.000, 0.880, 0.459], [0.000, 0.620, 0.959], [0.700, 0.224, 0.119], [0.700, 0.276, 0.619], [0.300, 0.776, 0.881], [0.000, 0.058, 0.193], [0.000, 0.366, 0.197], [0.300, 0.224, 0.119], [0.700, 0.776, 0.881], [0.300, 0.276, 0.619], [0.000, 0.558, 0.307], [0.000, 0.442, 0.693], [0.000, 0.866, 0.303], [0.700, 0.724, 0.381], [0.000, 0.380, 0.041], [0.500, 0.775, 0.629], [0.500, 0.225, 0.371], [0.500, 0.275, 0.871], [0.500, 0.725, 0.129], [0.000, 0.500, 0.500], [0.000, 0.000, 0.000]], "mass_density_g_cm3": 5.8}

***

no.,E_form (kJ/mol of atoms)
1,12.5
2,-9.8
3,-60.1
4,-0.3
5,-35.7
6,-25.4
7,-36.7
8,-44.8